# 1
A plane-wave DFT calculation with PBE was carried out for crystalline VPRh2 at its relaxed geometry.

Output
- formation energy from the elements (meV per atom) = 50

```
data_VPRh2
_cell_length_a 5.306
_cell_length_b 5.306
_cell_length_c 6.528
_cell_angle_alpha 66.02
_cell_angle_beta 66.02
_cell_angle_gamma 90.00
_symmetry_space_group_name_H-M 'P 1'
_symmetry_Int_Tables_number 1
_symmetry_space_group_name_Hall 'P 1'
loop_
_atom_site_label
_atom_site_type_symbol
_atom_site_fract_x
_atom_site_fract_y
_atom_site_fract_z
P1 P 0.500 0.500 0.000
P2 P 0.250 0.750 0.500
Rh1 Rh 0.607 0.125 0.250
Rh2 Rh 0.143 0.625 0.250
Rh3 Rh 0.375 0.393 0.750
Rh4 Rh 0.875 0.857 0.750
V1 V 0.000 0.000 0.000
V2 V 0.750 0.250 0.500
```


# 2
A plane-wave DFT calculation with PBE was carried out for crystalline V2PRhW at its relaxed geometry.

Output
- formation energy from the elements (meV per atom) = 379

```
data_V2PRhW
_cell_length_a 4.287
_cell_length_b 4.239
_cell_length_c 4.287
_cell_angle_alpha 90.00
_cell_angle_beta 90.00
_cell_angle_gamma 90.00
_symmetry_space_group_name_H-M 'P 1'
_symmetry_Int_Tables_number 1
_symmetry_space_group_name_Hall 'P 1'
loop_
_atom_site_label
_atom_site_type_symbol
_atom_site_fract_x
_atom_site_fract_y
_atom_site_fract_z
P1 P 0.000 0.000 0.000
Rh1 Rh 0.000 0.500 0.000
W1 W 0.500 0.500 0.500
V1 V 0.000 0.000 0.500
V2 V 0.500 0.000 0.000
```


# 3
A plane-wave DFT calculation with PBE was carried out for crystalline VZnPRh2 at its relaxed geometry.

Output
- formation energy from the elements (meV per atom) = 1143

```
data_VZnPRh2
_cell_length_a 4.551
_cell_length_b 4.240
_cell_length_c 4.551
_cell_angle_alpha 90.00
_cell_angle_beta 90.00
_cell_angle_gamma 90.00
_symmetry_space_group_name_H-M 'P 1'
_symmetry_Int_Tables_number 1
_symmetry_space_group_name_Hall 'P 1'
loop_
_atom_site_label
_atom_site_type_symbol
_atom_site_fract_x
_atom_site_fract_y
_atom_site_fract_z
P1 P 0.000 0.500 0.000
Zn1 Zn 0.000 0.000 0.000
Rh1 Rh 0.000 0.000 0.500
Rh2 Rh 0.500 0.000 0.000
V1 V 0.500 0.500 0.500
```


# 4
A plane-wave DFT calculation with PBE was carried out for crystalline Zr2VPRh at its relaxed geometry.

Output
- formation energy from the elements (meV per atom) = 539

```
data_Zr2VPRh
_cell_length_a 4.934
_cell_length_b 4.269
_cell_length_c 4.934
_cell_angle_alpha 90.00
_cell_angle_beta 90.00
_cell_angle_gamma 90.00
_symmetry_space_group_name_H-M 'P 1'
_symmetry_Int_Tables_number 1
_symmetry_space_group_name_Hall 'P 1'
loop_
_atom_site_label
_atom_site_type_symbol
_atom_site_fract_x
_atom_site_fract_y
_atom_site_fract_z
P1 P 0.500 0.500 0.500
Rh1 Rh 0.000 0.500 0.000
Zr1 Zr 0.000 0.000 0.500
Zr2 Zr 0.500 0.000 0.000
V1 V 0.000 0.000 0.000
```


# 5
A plane-wave DFT calculation with PBE was carried out for crystalline PRhW2 at its relaxed geometry.

Output
- formation energy from the elements (meV per atom) = 92

```
data_PRhW2
_cell_length_a 8.429
_cell_length_b 8.429
_cell_length_c 8.429
_cell_angle_alpha 19.64
_cell_angle_beta 19.64
_cell_angle_gamma 19.64
_symmetry_space_group_name_H-M 'P 1'
_symmetry_Int_Tables_number 1
_symmetry_space_group_name_Hall 'P 1'
loop_
_atom_site_label
_atom_site_type_symbol
_atom_site_fract_x
_atom_site_fract_y
_atom_site_fract_z
P1 P 0.500 0.500 0.500
Rh1 Rh 0.000 0.000 0.000
W1 W 0.756 0.756 0.756
W2 W 0.244 0.244 0.244
```


# 6
A plane-wave DFT calculation with PBE was carried out for crystalline PRhW2 at its relaxed geometry.

Output
- formation energy from the elements (meV per atom) = 126

```
data_PRhW2
_cell_length_a 4.830
_cell_length_b 4.830
_cell_length_c 4.398
_cell_angle_alpha 84.55
_cell_angle_beta 84.55
_cell_angle_gamma 36.05
_symmetry_space_group_name_H-M 'P 1'
_symmetry_Int_Tables_number 1
_symmetry_space_group_name_Hall 'P 1'
loop_
_atom_site_label
_atom_site_type_symbol
_atom_site_fract_x
_atom_site_fract_y
_atom_site_fract_z
P1 P 0.500 0.500 0.000
Rh1 Rh 0.000 0.000 0.500
W1 W 0.260 0.260 0.747
W2 W 0.740 0.740 0.253
```


# 7
A plane-wave DFT calculation with PBE was carried out for crystalline PRhW2 at its relaxed geometry.

Output
- formation energy from the elements (meV per atom) = 189

```
data_PRhW2
_cell_length_a 4.896
_cell_length_b 4.896
_cell_length_c 4.896
_cell_angle_alpha 134.60
_cell_angle_beta 134.60
_cell_angle_gamma 66.16
_symmetry_space_group_name_H-M 'P 1'
_symmetry_Int_Tables_number 1
_symmetry_space_group_name_Hall 'P 1'
loop_
_atom_site_label
_atom_site_type_symbol
_atom_site_fract_x
_atom_site_fract_y
_atom_site_fract_z
P1 P 0.500 0.500 0.000
Rh1 Rh 0.000 0.000 0.000
W1 W 0.750 0.250 0.500
W2 W 0.250 0.750 0.500
```


# 8
A plane-wave DFT calculation with PBE was carried out for crystalline PRhW2 at its relaxed geometry.

Output
- formation energy from the elements (meV per atom) = -40

```
data_PRhW2
_cell_length_a 5.143
_cell_length_b 5.143
_cell_length_c 5.143
_cell_angle_alpha 146.35
_cell_angle_beta 127.87
_cell_angle_gamma 63.49
_symmetry_space_group_name_H-M 'P 1'
_symmetry_Int_Tables_number 1
_symmetry_space_group_name_Hall 'P 1'
loop_
_atom_site_label
_atom_site_type_symbol
_atom_site_fract_x
_atom_site_fract_y
_atom_site_fract_z
P1 P 0.000 0.500 0.500
Rh1 Rh 0.500 0.000 0.500
W1 W 0.779 0.779 0.000
W2 W 0.221 0.221 0.000
```


| no. | Fermi-level density of states (states/eV/f.u.) |
| --- | --- |
| 1 | 2.36 |
| 2 | 3.69 |
| 3 | 9.80 |
| 4 | 3.74 |
| 5 | 4.45 |
| 6 | 2.28 |
| 7 | 3.42 |
| 8 | 2.52 |